Entry 1:
Tc2AgPd: relaxed, GGA-PBE.

Cell: 6.292 6.292 6.292 Å, 90.00 90.00 90.00°
Space group Fm-3m (No. 225)
Asymmetric unit:
1 Tc 0.250 0.250 0.250 x8
2 Ag 0.000 0.000 0.000 x4
3 Pd 0.000 0.000 0.500 x4

Computed properties:
**Crystal system**: cubic
**E_tot**: -6.436 eV/atom
**Volume**: 249.1 Å³ per cell
**Mass density**: 10.94 g/cm3



Entry 2:
Ba2NaHg5: relaxed, GGA-PBE.

Cell: 4.918 19.101 11.124 Å, 90.00 90.00 90.00°
Space group Cmcm (No. 63)
Asymmetric unit:
1 Ba 0.000 0.000 0.000 x4
2 Ba 0.000 0.214 0.250 x4
3 Na 0.000 0.439 0.750 x4
4 Hg 0.000 0.183 0.608 x8
5 Hg 0.000 0.351 0.534 x8
6 Hg 0.000 0.410 0.250 x4

Computed properties:
**Crystal system**: orthorhombic
**E_tot**: -1.175 eV/atom
**Volume**: 1045.0 Å³ per cell
**Mass density**: 8.27 g/cm3



Entry 3:
Tb6PmDy4: relaxed, GGA-PBE.

Cell: 7.591 7.591 13.168 Å, 90.00 90.00 90.00°
Space group I-42m (No. 121)
Asymmetric unit:
1 Tb 0.000 0.500 0.000 x4
2 Tb 0.239 0.239 0.187 x8
3 Pm 0.000 0.000 0.000 x2
4 Dy 0.165 0.165 0.422 x8

Computed properties:
**Crystal system**: tetragonal
**E_tot**: -4.208 eV/atom
**Volume**: 758.7 Å³ per cell
**Mass density**: 7.65 g/cm3



Entry 4:
MnNbCuAu: relaxed, GGA-PBE.

Cell: 6.246 6.246 6.246 Å, 90.00 90.00 90.00°
Space group F-43m (No. 216)
Asymmetric unit:
1 Mn 0.000 0.000 0.000 x4
2 Nb 0.250 0.250 0.750 x4
3 Cu 0.000 0.000 0.500 x4
4 Au 0.250 0.250 0.250 x4

Computed properties:
**Crystal system**: cubic
**E_tot**: -6.531 eV/atom
**Volume**: 243.7 Å³ per cell
**Mass density**: 11.13 g/cm3



Entry 5:
TiTl2GeS4: relaxed, GGA-PBE.

Cell: 6.587 13.353 21.700 Å, 90.00 90.00 90.00°
Space group Fddd (No. 70, origin choice 2)
Asymmetric unit:
1 Ti 0.125 0.125 0.125 x8
2 Tl 0.125 0.125 0.301 x16
3 Ge 0.125 0.125 0.625 x8
4 S 0.093 0.282 0.432 x32

Computed properties:
**Crystal system**: orthorhombic
**E_tot**: -4.860 eV/atom
**Volume**: 1908.7 Å³ per cell
**Energy relative to the elements, uncorrected**: -641 meV/atom
**Mass density**: 4.58 g/cm3



Entry 6:
Rb2CaTl6: relaxed, GGA-PBE.

Cell: 11.1801 11.1801 3.5545 Å, 90.00 90.00 120.00°
Space group P-3m1 (No. 164)
Asymmetric unit:
1 Rb 0.3333 0.6667 0.1715 x2
2 Ca 0.0000 0.0000 0.0000 x1
3 Tl 0.1583 0.3166 0.6658 x6

Computed properties:
**Crystal system**: trigonal
**E_tot**: -1.991 eV/atom
**Volume**: 384.8 Å³ per cell
**Mass density**: 6.20 g/cm3



Entry 7:
HgIrOs: relaxed, GGA-PBE.

Cell: 2.8400 2.8400 7.0489 Å, 90.00 90.00 120.00°
Space group P3m1 (No. 156)
Asymmetric unit:
1 Hg 0.0000 0.0000 0.0000 x1
2 Ir 0.6667 0.3333 0.3546 x1
3 Os 0.3333 0.6667 0.6446 x1

Computed properties:
**Crystal system**: trigonal
**E_tot**: -6.311 eV/atom
**Volume**: 49.2 Å³ per cell
**Mass density**: 19.66 g/cm3



Entry 8:
Y5Os: relaxed, GGA-PBE.

Cell: 5.8317 5.8317 5.9632 Å, 90.00 90.00 120.00°
Space group P6/mmm (No. 191)
Asymmetric unit:
1 Y 0.0000 0.5000 0.0000 x3
2 Y 0.3333 0.6667 0.5000 x2
3 Os 0.0000 0.0000 0.5000 x1

Computed properties:
**Crystal system**: hexagonal
**E_tot**: -6.237 eV/atom
**Volume**: 175.6 Å³ per cell
**Mass density**: 6.00 g/cm3